Entry 1:
Here is an optimized crystal structure of LiFeCl2 from the Alexandria database. Energies are from PBE.

abc: 7.873 7.873 7.873
angles: 28.87 28.87 28.87
Positions (direct):
Li  0.000  0.000  0.000
Fe  0.852  0.852  0.852
Cl  0.347  0.347  0.347
Cl  0.527  0.527  0.527

Computed properties:
* energy above the lowest structure with this stoichiometry: 93 meV/atom
* ΔE_f (raw): -2.682 eV per formula unit
* SG: R3m

Entry 2:
Here is an optimized crystal structure of Li2FeCl from the Alexandria database. Energies are from PBE.

abc: 4.679 4.679 4.679
angles: 60.00 60.00 60.00
Positions (direct):
Li  0.250  0.250  0.250
Li  0.750  0.750  0.750
Fe  0.000  0.000  0.000
Cl  0.500  0.500  0.500

Computed properties:
* energy above the lowest structure with this stoichiometry: 516 meV/atom
* ΔE_f (raw): 0.698 eV per formula unit
* SG: Fm-3m

Entry 3:
Here is an optimized crystal structure of LiFeCl2 from the Alexandria database. Energies are from PBE.

abc: 6.475 6.475 6.475
angles: 31.46 31.46 31.46
Positions (direct):
Li  0.000  0.000  0.000
Fe  0.500  0.500  0.500
Cl  0.251  0.251  0.251
Cl  0.749  0.749  0.749

Computed properties:
* energy above the lowest structure with this stoichiometry: 44 meV/atom
* ΔE_f (raw): -2.878 eV per formula unit
* SG: R-3m

Entry 4:
Here is an optimized crystal structure of LiFeCl2 from the Alexandria database. Energies are from PBE.

abc: 6.801 6.801 6.801
angles: 133.14 133.14 68.43
Positions (direct):
Li  0.000  0.000  0.000
Li  0.750  0.250  0.500
Fe  0.250  0.750  0.500
Fe  0.500  0.500  0.000
Cl  0.131  0.625  0.006
Cl  0.375  0.381  0.506
Cl  0.619  0.125  0.994
Cl  0.875  0.869  0.494

Computed properties:
* energy above the lowest structure with this stoichiometry: 3 meV/atom
* ΔE_f (raw): -3.043 eV per formula unit
* SG: I-42d

Entry 5:
Here is an optimized crystal structure of Li2FeCl from the Alexandria database. Energies are from PBE.

abc: 3.228 3.228 6.967
angles: 90.00 90.00 90.00
Positions (direct):
Li  0.000  0.000  0.000
Li  0.500  0.500  0.258
Fe  0.500  0.500  0.800
Cl  0.000  0.000  0.350

Computed properties:
* energy above the lowest structure with this stoichiometry: 147 meV/atom
* ΔE_f (raw): -0.779 eV per formula unit
* SG: P4mm

Entry 6:
Here is an optimized crystal structure of Li2MgFeCl6 from the Alexandria database. Energies are from PBE.

abc: 6.834 6.834 6.834
angles: 55.26 55.26 55.26
Positions (direct):
Li  0.000  0.000  0.000
Li  0.499  0.499  0.499
Mg  0.693  0.693  0.693
Fe  0.193  0.193  0.193
Cl  0.090  0.795  0.417
Cl  0.292  0.585  0.922
Cl  0.417  0.090  0.795
Cl  0.585  0.922  0.292
Cl  0.795  0.417  0.090
Cl  0.922  0.292  0.585

Computed properties:
* ΔE_f (raw): -14.431 eV per formula unit
* SG: R3

Entry 7:
Here is an optimized crystal structure of NaLiFe2Cl8 from the Alexandria database. Energies are from PBE.

abc: 7.547 7.547 7.547
angles: 106.07 106.07 116.51
Positions (direct):
Na  0.000  0.000  0.000
Li  0.750  0.250  0.500
Fe  0.250  0.750  0.500
Fe  0.500  0.500  0.000
Cl  0.077  0.387  0.310
Cl  0.077  0.766  0.690
Cl  0.138  0.333  0.805
Cl  0.234  0.923  0.310
Cl  0.528  0.333  0.195
Cl  0.613  0.923  0.690
Cl  0.667  0.472  0.805
Cl  0.667  0.862  0.195

Computed properties:
* ΔE_f (raw): -12.922 eV per formula unit
* SG: I-4m2

Entry 8:
Here is an optimized crystal structure of Na3Li3FeCl8 from the Alexandria database. Energies are from PBE.

abc: 7.466 7.466 7.704
angles: 118.91 118.91 59.91
Positions (direct):
Na  0.000  0.000  0.000
Na  0.000  0.500  0.000
Na  0.500  0.000  0.000
Li  0.000  0.500  0.500
Li  0.500  0.000  0.500
Li  0.500  0.500  0.500
Fe  0.000  0.000  0.500
Cl  0.223  0.223  0.708
Cl  0.223  0.763  0.708
Cl  0.237  0.777  0.292
Cl  0.258  0.258  0.273
Cl  0.742  0.742  0.727
Cl  0.763  0.223  0.708
Cl  0.777  0.237  0.292
Cl  0.777  0.777  0.292

Computed properties:
* ΔE_f (raw): -22.455 eV per formula unit
* SG: C2/m

Entry 9:
Here is an optimized crystal structure of NaLiFeCl4 from the Alexandria database. Energies are from PBE.

abc: 7.630 7.630 7.630
angles: 120.35 119.36 90.25
Positions (direct):
Na  0.500  0.000  0.000
Na  0.500  0.500  0.500
Li  0.000  0.000  0.000
Li  0.500  0.000  0.500
Fe  0.121  0.371  0.750
Fe  0.879  0.629  0.250
Cl  0.232  0.242  0.991
Cl  0.243  0.238  0.496
Cl  0.243  0.747  0.004
Cl  0.249  0.758  0.491
Cl  0.751  0.242  0.509
Cl  0.757  0.253  0.996
Cl  0.757  0.762  0.504
Cl  0.768  0.758  0.009

Computed properties:
* ΔE_f (raw): -9.060 eV per formula unit
* SG: Imma

Entry 10:
Here is an optimized crystal structure of LiNb2FeCl from the Alexandria database. Energies are from PBE.

abc: 4.513 4.513 5.102
angles: 90.00 90.00 90.00
Positions (direct):
Li  0.000  0.000  0.000
Nb  0.000  0.500  0.500
Nb  0.500  0.000  0.500
Fe  0.000  0.000  0.500
Cl  0.500  0.500  0.000

Computed properties:
* ΔE_f (raw): 3.578 eV per formula unit
* SG: P4/mmm